(1)
# NaAcLa2Tl4

An optimized crystal structure of NaAcLa2Tl4 (GGA-PBE, the Alexandria database).

Cell: 10.0034 10.0034 10.0034 Å, 32.36 32.36 32.36°
Last column: nearest neighbours and their distance in Å.
Sites, in units of the cell vectors:
Na: 0.0000 0.0000 0.0000  8 Tl 3.42-3.45
Ac: 0.5000 0.5000 0.5000  8 Tl 3.47-3.59
La: 0.2575 0.2575 0.2575  7 Tl 3.30-3.47
La: 0.7425 0.7425 0.7425  7 Tl 3.30-3.47
Tl: 0.1213 0.1213 0.1213  1 Na 3.45, 3 Ac 3.47, 3 La 3.47
Tl: 0.3737 0.3737 0.3737  4 La 3.30-3.37, 3 Na 3.42, 1 Ac 3.59
Tl: 0.6263 0.6263 0.6263  4 La 3.30-3.37, 3 Na 3.42, 1 Ac 3.59
Tl: 0.8787 0.8787 0.8787  1 Na 3.45, 3 Ac 3.47, 3 La 3.47

Calculated values
Space-group type ... R-3m
Energy of formation from the pure elements ... -33 kJ per mole of atoms
N(E_F) ... 0.87 states/eV per atom
Final energy ... -3.43 eV per atom

=====

(2)
# Ac2La2Pm4Dy

An optimized crystal structure of Ac2La2Pm4Dy (GGA-PBE, the Alexandria database).

Cell: 9.9116 9.9116 10.0551 Å, 115.27 115.27 22.02°
Last column: nearest neighbours and their distance in Å.
Sites, in units of the cell vectors:
Ac: 0.1441 0.1441 0.1631  7 Pm 3.73-3.82, 3 La 3.78, 2 Ac 3.79
Ac: 0.8559 0.8559 0.8369  7 Pm 3.73-3.82, 3 La 3.78, 2 Ac 3.79
La: 0.3358 0.3358 0.4968  3 Pm 3.62-3.69, 2 Dy 3.70, 3 Ac 3.78, 4 La 3.79-3.86
La: 0.6642 0.6642 0.5032  3 Pm 3.62-3.69, 2 Dy 3.70, 3 Ac 3.78, 4 La 3.79-3.86
Pm: 0.1849 0.1849 0.8336  6 Pm 3.69-3.79, 2 La 3.69, 1 Dy 3.70, 3 Ac 3.73-3.82
Pm: 0.4810 0.4810 0.1819  2 Dy 3.59, 1 La 3.62, 4 Pm 3.69-3.79, 4 Ac 3.77
Pm: 0.5190 0.5190 0.8181  2 Dy 3.59, 1 La 3.62, 4 Pm 3.69-3.79, 4 Ac 3.77
Pm: 0.8151 0.8151 0.1664  6 Pm 3.69-3.79, 2 La 3.69, 1 Dy 3.70, 3 Ac 3.73-3.82
Dy: 0.0000 0.0000 0.5000  6 Pm 3.59-3.70, 4 La 3.70, 2 Dy 3.79

Calculated values
Space-group type ... C2/m
Energy of formation from the pure elements ... 3 kJ per mole of atoms
N(E_F) ... 1.44 states/eV per atom
Final energy ... -4.60 eV per atom

=====

(3)
# ScHg2Bi2

An optimized crystal structure of ScHg2Bi2 (GGA-PBE, the Alexandria database).

Cell: 7.9202 7.9202 4.5400 Å, 90.00 90.00 90.00°
Last column: nearest neighbours and their distance in Å.
Sites, in units of the cell vectors:
Sc: 0.0000 0.0000 0.0000  4 Bi 3.03
Sc: 0.5000 0.5000 0.0000  4 Bi 3.03
Hg: 0.1627 0.3373 0.5000  6 Bi 3.11-3.34
Hg: 0.3373 0.8373 0.5000  6 Bi 3.11-3.34
Hg: 0.6627 0.1627 0.5000  6 Bi 3.11-3.34
Hg: 0.8373 0.6627 0.5000  6 Bi 3.11-3.34
Bi: 0.1468 0.6468 0.0000  2 Sc 3.03, 6 Hg 3.11-3.34, 1 Bi 3.29
Bi: 0.3532 0.1468 0.0000  2 Sc 3.03, 6 Hg 3.11-3.34, 1 Bi 3.29
Bi: 0.6468 0.8532 0.0000  2 Sc 3.03, 6 Hg 3.11-3.34, 1 Bi 3.29
Bi: 0.8532 0.3532 0.0000  2 Sc 3.03, 6 Hg 3.11-3.34, 1 Bi 3.29

Calculated values
Space-group type ... P4/mbm
Energy of formation from the pure elements ... 2 kJ per mole of atoms
N(E_F) ... 1.12 states/eV per atom
Final energy ... -2.92 eV per atom
Offset from the most stable computed form ... 0.0355 eV/atom

=====

(4)
# CaZr2GeOs

An optimized crystal structure of CaZr2GeOs (GGA-PBE, the Alexandria database).

Cell: 5.0281 5.0281 4.6164 Å, 90.00 90.00 90.00°
Last column: nearest neighbours and their distance in Å.
Sites, in units of the cell vectors:
Ca: 0.0000 0.0000 0.0000  2 Os 2.31, 4 Zr 2.51
Zr: 0.0000 0.5000 0.0000  2 Ca 2.51
Zr: 0.5000 0.0000 0.0000  2 Ca 2.51
Ge: 0.5000 0.5000 0.5000  8 Zr 3.41, 4 Os 3.56
Os: 0.0000 0.0000 0.5000  2 Ca 2.31

Calculated values
Space-group type ... P4/mmm
Energy of formation from the pure elements ... 180 kJ per mole of atoms
N(E_F) ... 1.22 states/eV per atom
Final energy ... -5.13 eV per atom

=====

(5)
# YMgTe2N

An optimized crystal structure of YMgTe2N (GGA-PBE, the Alexandria database).

Cell: 5.5885 5.5885 4.0258 Å, 90.00 90.00 90.00°
Last column: nearest neighbours and their distance in Å.
Sites, in units of the cell vectors:
Y: 0.0000 0.0000 0.0000  8 Te 3.44
Mg: 0.5000 0.5000 0.5000  2 N 2.01
Te: 0.0000 0.5000 0.5000  2 Mg 2.79
Te: 0.5000 0.0000 0.5000  2 Mg 2.79
N: 0.5000 0.5000 0.0000  2 Mg 2.01

Calculated values
Space-group type ... P4/mmm
N(E_F) ... 0.46 states/eV per atom
Final energy ... -4.61 eV per atom
Offset from the most stable computed form ... 0.0000 eV/atom

=====

(6)
# La2Pm3Er2

An optimized crystal structure of La2Pm3Er2 (GGA-PBE, the Alexandria database).

Cell: 12.3476 12.3476 12.3476 Å, 163.60 153.45 31.37°
Last column: nearest neighbours and their distance in Å.
Sites, in units of the cell vectors:
La: 0.0702 0.0702 0.0000  3 La 3.34-3.52, 2 Er 3.34, 4 Pm 3.73
La: 0.9298 0.9298 0.0000  3 La 3.34-3.52, 2 Er 3.34, 4 Pm 3.73
Pm: 0.2106 0.7106 0.5000  5 Er 3.44-3.69, 6 Pm 3.52-3.83, 2 La 3.77
Pm: 0.5000 0.5000 0.0000  2 Pm 3.52, 8 La 3.73, 4 Er 3.87
Pm: 0.7894 0.2894 0.5000  5 Er 3.44-3.69, 6 Pm 3.52-3.83, 2 La 3.77
Er: 0.3552 0.8552 0.5000  2 La 3.34, 5 Pm 3.44-3.69, 2 Er 3.52
Er: 0.6448 0.1448 0.5000  2 La 3.34, 5 Pm 3.44-3.69, 2 Er 3.52

Calculated values
Space-group type ... Immm
Energy of formation from the pure elements ... 7 kJ per mole of atoms
N(E_F) ... 1.54 states/eV per atom
Final energy ... -4.68 eV per atom
Offset from the most stable computed form ... 0.0471 eV/atom